Material: TaFeHg2
Method: DFT, PBE
State: optimized geometry

Results
Total DFT energy (no corrections) (eV/atom): -4.63
Density of states at the Fermi level (states/eV/atom): 0.912
Space-group type: P4/mmm, No. 123
Excess energy over the best structure of this formula in the dataset (eV per atom): 0.336

abc: 4.997 4.997 2.959
angles: 90.00 90.00 90.00
Positions (direct):
Ta 0.000 0.000 0.000
Fe 0.500 0.500 0.000
Hg 0.000 0.500 0.500
Hg 0.500 0.000 0.500

Material: TaFeHg2
Method: DFT, PBE
State: optimized geometry

Results
Total DFT energy (no corrections) (eV/atom): -4.90
Density of states at the Fermi level (states/eV/atom): 0.722
Space-group type: R3m, No. 160
Excess energy over the best structure of this formula in the dataset (eV per atom): 0.064

abc: 3.148 3.148 27.214
angles: 90.00 90.00 120.00
Positions (direct):
Ta 0.000 0.000 0.000
Ta 0.333 0.667 0.667
Ta 0.667 0.333 0.333
Fe 0.000 0.000 0.724
Fe 0.333 0.667 0.390
Fe 0.667 0.333 0.057
Hg 0.000 0.000 0.240
Hg 0.000 0.000 0.472
Hg 0.333 0.667 0.139
Hg 0.333 0.667 0.907
Hg 0.667 0.333 0.574
Hg 0.667 0.333 0.806

Material: TaFeHg2
Method: DFT, PBE
State: optimized geometry

Results
Total DFT energy (no corrections) (eV/atom): -4.78
Density of states at the Fermi level (states/eV/atom): 0.540
Space-group type: Cm, No. 8
Excess energy over the best structure of this formula in the dataset (eV per atom): 0.185

abc: 10.962 3.094 4.839
angles: 90.00 115.85 90.00
Positions (direct):
Ta 0.000 0.000 0.000
Ta 0.500 0.500 0.000
Fe 0.315 0.000 0.815
Fe 0.815 0.500 0.815
Hg 0.069 0.500 0.568
Hg 0.282 0.500 0.282
Hg 0.569 0.000 0.568
Hg 0.782 0.000 0.282

Material: TaFeHg2
Method: DFT, PBE
State: optimized geometry

Results
Total DFT energy (no corrections) (eV/atom): -4.73
Density of states at the Fermi level (states/eV/atom): 0.683
Space-group type: P2/m, No. 10
Excess energy over the best structure of this formula in the dataset (eV per atom): 0.236

abc: 2.885 4.258 5.878
angles: 90.00 90.76 90.00
Positions (direct):
Ta 0.000 0.000 0.000
Fe 0.000 0.000 0.500
Hg 0.493 0.500 0.743
Hg 0.507 0.500 0.257

Material: TaFeHg2
Method: DFT, PBE
State: optimized geometry

Results
Total DFT energy (no corrections) (eV/atom): -4.67
Density of states at the Fermi level (states/eV/atom): 0.688
Space-group type: I-4m2, No. 119
Excess energy over the best structure of this formula in the dataset (eV per atom): 0.298

abc: 4.245 4.245 7.940
angles: 90.00 90.00 90.00
Positions (direct):
Ta 0.000 0.000 0.000
Ta 0.500 0.500 0.500
Fe 0.000 0.500 0.750
Fe 0.500 0.000 0.250
Hg 0.000 0.000 0.500
Hg 0.000 0.500 0.250
Hg 0.500 0.000 0.750
Hg 0.500 0.500 0.000

Material: TaFeHg2
Method: DFT, PBE
State: optimized geometry

Results
Total DFT energy (no corrections) (eV/atom): -4.69
Density of states at the Fermi level (states/eV/atom): 0.771
Space-group type: Immm, No. 71
Excess energy over the best structure of this formula in the dataset (eV per atom): 0.279

abc: 3.309 4.613 9.439
angles: 90.00 90.00 90.00
Positions (direct):
Ta 0.000 0.000 0.000
Ta 0.500 0.500 0.500
Fe 0.000 0.000 0.500
Fe 0.500 0.500 0.000
Hg 0.000 0.500 0.229
Hg 0.000 0.500 0.771
Hg 0.500 0.000 0.271
Hg 0.500 0.000 0.729

Number 1: formation energy 600 meV/atom. Number 2: formation energy 328 meV/atom. Number 3: formation energy 449 meV/atom. Number 4: formation energy 500 meV/atom. Number 5: formation energy 563 meV/atom. Number 6: formation energy 543 meV/atom.